! FeNiSnPt (GGA-PBE, optimized geometry); values from VASP
! - Crystal system: cubic
! - E_tot: -6.1095 eV per atom
&SYSTEM
  ibrav = 0, nat = 4, ntyp = 4
/
ATOMIC_SPECIES
Fe 55.84 Fe.upf
Ni 58.69 Ni.upf
Pt 195.08 Pt.upf
Sn 118.71 Sn.upf
ATOMIC_POSITIONS angstrom
Fe 3.113 3.113 3.113
Ni 4.669 4.669 4.669
Pt 1.556 1.556 1.556
Sn 0.000 0.000 0.000
CELL_PARAMETERS angstrom
0.000 3.113 3.113
3.113 0.000 3.113
3.113 3.113 0.000



! CoHg2Os (GGA-PBE, optimized geometry); values from VASP
! - Crystal system: cubic
! - ΔH_f (0 K): 90.74 kJ/mol of atoms
! - E_tot: -3.7914 eV per atom
&SYSTEM
  ibrav = 0, nat = 4, ntyp = 3
/
ATOMIC_SPECIES
Co 58.93 Co.upf
Hg 200.59 Hg.upf
Os 190.23 Os.upf
ATOMIC_POSITIONS angstrom
Co 1.620 1.620 1.620
Hg 0.000 0.000 0.000
Hg 4.860 4.860 4.860
Os 3.240 3.240 3.240
CELL_PARAMETERS angstrom
0.000 3.240 3.240
3.240 0.000 3.240
3.240 3.240 0.000



Copy entry 1 word for word.
! FeNiSnPt (GGA-PBE, optimized geometry); values from VASP
! - Crystal system: cubic
! - E_tot: -6.1095 eV per atom
&SYSTEM
  ibrav = 0, nat = 4, ntyp = 4
/
ATOMIC_SPECIES
Fe 55.84 Fe.upf
Ni 58.69 Ni.upf
Pt 195.08 Pt.upf
Sn 118.71 Sn.upf
ATOMIC_POSITIONS angstrom
Fe 3.113 3.113 3.113
Ni 4.669 4.669 4.669
Pt 1.556 1.556 1.556
Sn 0.000 0.000 0.000
CELL_PARAMETERS angstrom
0.000 3.113 3.113
3.113 0.000 3.113
3.113 3.113 0.000



Question: What is the formula in the second record?
Answer: CoHg2Os